VASP calculation (PBE with a Hubbard U) on Na3Ga3CoO8 after structural relaxation.

Space group: R-3m
Uncorrected energy (eV/atom): -5.479

Cell: 5.9467 5.9472 6.4494 Å, 117.46 90.00 120.00°
Closest atoms and distances in Å follow each position.
Sites, in units of the cell vectors:
Ga1 0.5000 0.5000 0.5000  6 O 2.02-2.03
Na1 0.0000 0.0000 0.0000  6 O 2.39
O1 0.7791 0.5582 0.3131  1 Co 1.93, 2 Ga 2.03
O2 0.2209 0.9660 0.6869  1 Co 1.93, 2 Ga 2.03
Ga2 0.0000 0.5000 0.5000  6 O 2.02-2.03
O3 0.2684 0.5368 0.3054  3 Ga 2.02
O4 0.2209 0.4418 0.6869  1 Co 1.93, 2 Ga 2.03
O5 0.7450 0.9660 0.6869  1 Co 1.93, 2 Ga 2.03
Na2 0.5000 0.5000 0.0000  6 O 2.39
Ga3 0.5000 0.0000 0.5000  6 O 2.02-2.03
Co1 0.0000 0.0000 0.5000  6 O 1.93
O6 0.7316 0.4632 0.6946  3 Ga 2.02
O7 0.2550 0.0340 0.3131  1 Co 1.93, 2 Ga 2.03
Na3 0.0000 0.5000 0.0000  6 O 2.39
O8 0.7791 0.0340 0.3131  1 Co 1.93, 2 Ga 2.03